No. 1
VASP calculation (PBEsol) on a relaxed structure of La2TlCu.

**Space group**: P4/mmm (123)
**Calculated formation energy**: -0.18 eV/atom
**Density**: 8.37 g/cm³
**Fermi-level density of states**: 5.538 states/eV/f.u.
**Total moment**: 0.02 Bohr magnetons per cell
**Crystal system**: tetragonal

abc: 5.306 5.306 3.844
angles: 90.00 90.00 90.00
Element x y z (fractional)
La (0.000, 0.500, 0.000)
La (0.500, 0.000, 0.000)
Tl (0.000, 0.000, 0.500)
Cu (0.500, 0.500, 0.500)

***

No. 2
VASP calculation (PBEsol) on a relaxed structure of ZrAgCl2.

**Raw formation energy**: -142.4 meV/atom
**Space group**: F-43m (216)
**Density**: 5.90 g/cm³
**Fermi-level density of states**: 3.060 states/eV/f.u.
**E above lowest polymorph**: 1.44 eV per formula unit
**Total moment**: 0.93 Bohr magnetons per cell
**Crystal system**: cubic

abc: 4.755 4.755 4.755
angles: 60.00 60.00 60.00
Element x y z (fractional)
Zr (0.000, 0.000, 0.000)
Ag (0.250, 0.250, 0.250)
Cl (0.500, 0.500, 0.500)
Cl (0.750, 0.750, 0.750)

***

No. 3
VASP calculation (PBEsol) on a relaxed structure of NdMoI4O15.

**Raw formation energy**: -999.3 meV/atom
**Space group**: P2_1 (4)
**Density**: 5.40 g/cm³
**Fermi-level density of states**: 12.966 states/eV/f.u.
**Total moment**: 0.00 Bohr magnetons per cell
**Crystal system**: monoclinic

abc: 6.735 14.076 7.063
angles: 90.00 114.89 90.00
Element x y z (fractional)
Nd (0.087, 0.000, 0.432)
Nd (0.913, 0.500, 0.568)
Mo (0.396, 0.671, 0.212)
Mo (0.604, 0.171, 0.788)
I (0.157, 0.127, 0.963)
I (0.226, 0.396, 0.139)
I (0.239, 0.752, 0.696)
I (0.470, 0.908, 0.235)
I (0.530, 0.408, 0.765)
I (0.761, 0.252, 0.304)
I (0.774, 0.896, 0.861)
I (0.843, 0.627, 0.037)
O (0.013, 0.397, 0.874)
O (0.040, 0.658, 0.603)
O (0.059, 0.852, 0.586)
O (0.099, 0.027, 0.781)
O (0.183, 0.585, 0.050)
O (0.230, 0.766, 0.957)
O (0.239, 0.266, 0.183)
O (0.246, 0.716, 0.343)
O (0.260, 0.061, 0.207)
O (0.287, 0.479, 0.656)
O (0.400, 0.287, 0.706)
O (0.409, 0.097, 0.616)
O (0.417, 0.909, 0.472)
O (0.443, 0.150, 0.994)
O (0.472, 0.405, 0.092)
O (0.528, 0.905, 0.908)
O (0.557, 0.650, 0.006)
O (0.583, 0.409, 0.528)
O (0.591, 0.597, 0.384)
O (0.600, 0.787, 0.294)
O (0.713, 0.979, 0.344)
O (0.740, 0.561, 0.793)
O (0.754, 0.216, 0.657)
O (0.761, 0.766, 0.817)
O (0.770, 0.266, 0.043)
O (0.817, 0.085, 0.950)
O (0.901, 0.527, 0.219)
O (0.941, 0.352, 0.414)
O (0.960, 0.158, 0.397)
O (0.987, 0.897, 0.126)

***

No. 4
VASP calculation (PBEsol) on a relaxed structure of CdTcP2Cl.

**Raw formation energy**: 1494.0 meV/atom
**Space group**: P4/mmm (123)
**Density**: 4.36 g/cm³
**Fermi-level density of states**: 3.052 states/eV/f.u.
**Total moment**: 3.47 Bohr magnetons per cell
**Crystal system**: tetragonal

abc: 4.868 4.868 4.945
angles: 90.00 90.00 90.00
Element x y z (fractional)
Cd (0.000, 0.000, 0.000)
Tc (0.500, 0.500, 0.500)
P (0.000, 0.500, 0.000)
P (0.500, 0.000, 0.000)
Cl (0.000, 0.000, 0.500)

***

No. 5
VASP calculation (PBEsol) on a relaxed structure of Ca2LaRh.

**Space group**: Amm2 (38)
**Calculated formation energy**: -0.30 eV/atom
**Density**: 4.21 g/cm³
**Fermi-level density of states**: 3.114 states/eV/f.u.
**E above lowest polymorph**: 0.00 eV per formula unit
**Total moment**: 0.00 Bohr magnetons per cell
**Crystal system**: orthorhombic

abc: 3.775 8.323 8.323
angles: 29.08 90.00 90.00
Element x y z (fractional)
Ca (0.000, 0.000, 0.000)
Ca (0.500, 0.332, 0.332)
La (0.000, 0.676, 0.676)
Rh (0.500, 0.150, 0.150)

***

No. 6
VASP calculation (PBEsol) on a relaxed structure of Ca2AgP.

**Space group**: Amm2 (38)
**Calculated formation energy**: -0.72 eV/atom
**Density**: 3.91 g/cm³
**Fermi-level density of states**: 1.077 states/eV/f.u.
**Total moment**: 0.00 Bohr magnetons per cell
**Crystal system**: orthorhombic

abc: 4.247 5.776 5.776
angles: 40.97 90.00 90.00
Element x y z (fractional)
Ca (0.000, 0.000, 0.000)
Ca (0.500, 0.282, 0.282)
Ag (0.000, 0.708, 0.708)
P (0.500, 0.560, 0.560)

***

No. 7
VASP calculation (PBEsol) on a relaxed structure of K2YSi.

**Raw formation energy**: 433.3 meV/atom
**Space group**: I-42d (122)
**Density**: 1.67 g/cm³
**Fermi-level density of states**: 4.115 states/eV/f.u.
**Total moment**: 0.00 Bohr magnetons per cell
**Crystal system**: tetragonal

abc: 8.851 8.851 8.851
angles: 95.47 95.47 144.03
Element x y z (fractional)
K (0.375, 0.240, 0.365)
K (0.760, 0.125, 0.135)
K (0.875, 0.010, 0.635)
K (0.990, 0.625, 0.865)
Y (0.250, 0.750, 0.500)
Y (0.500, 0.500, 0.000)
Si (0.000, 0.000, 0.000)
Si (0.750, 0.250, 0.500)

***

No. 8
VASP calculation (PBEsol) on a relaxed structure of SrAlNi2.

**Space group**: P4/mmm (123)
**Calculated formation energy**: 0.14 eV/atom
**Density**: 6.00 g/cm³
**Fermi-level density of states**: 1.846 states/eV/f.u.
**Total moment**: 0.00 Bohr magnetons per cell
**Crystal system**: tetragonal

abc: 4.629 4.629 2.997
angles: 90.00 90.00 90.00
Element x y z (fractional)
Sr (0.000, 0.000, 0.000)
Al (0.500, 0.500, 0.000)
Ni (0.000, 0.500, 0.500)
Ni (0.500, 0.000, 0.500)